# 1
An optimized crystal structure of ReTcPb4, computed with PBE-GGA. Values from VASP.

Quantum ESPRESSO input file:
```
&SYSTEM
  ibrav = 0, nat = 6, ntyp = 3
/
ATOMIC_SPECIES
Tc 98.00 Tc.upf
Pb 207.20 Pb.upf
Re 186.21 Re.upf
CELL_PARAMETERS angstrom
6.094 -0.522 0.760
2.316 -4.770 3.141
3.107 -4.423 -2.961
ATOMIC_POSITIONS crystal
Tc 0.000 0.000 0.000
Pb 0.375 0.375 0.874
Pb 0.874 0.375 0.375
Pb 0.375 0.375 0.375
Pb 0.375 0.874 0.375
Re 0.750 0.750 0.750
```

Properties
formation energy	159	kJ/mol of atoms



# 2
An optimized crystal structure of NdAg4Rh, computed with PBE-GGA. Values from VASP.

Quantum ESPRESSO input file:
```
&SYSTEM
  ibrav = 0, nat = 6, ntyp = 3
/
ATOMIC_SPECIES
Ag 107.87 Ag.upf
Rh 102.91 Rh.upf
Nd 144.24 Nd.upf
CELL_PARAMETERS angstrom
5.503 0.000 0.000
2.752 4.766 0.000
2.752 1.589 4.493
ATOMIC_POSITIONS crystal
Ag 0.624 0.127 0.624
Ag 0.624 0.624 0.127
Rh 0.250 0.250 0.250
Nd 0.000 0.000 0.000
Ag 0.624 0.624 0.624
Ag 0.127 0.624 0.624
```

Properties
formation energy	-7	kJ/mol of atoms



# 3
An optimized crystal structure of Co2SiHPt, computed with PBE-GGA. Values from VASP.

Quantum ESPRESSO input file:
```
&SYSTEM
  ibrav = 0, nat = 5, ntyp = 4
/
ATOMIC_SPECIES
H 1.01 H.upf
Co 58.93 Co.upf
Pt 195.08 Pt.upf
Si 28.09 Si.upf
CELL_PARAMETERS angstrom
3.664 0.000 0.000
0.000 3.664 0.000
0.000 0.000 3.773
ATOMIC_POSITIONS crystal
H 0.000 0.000 0.000
Co 0.000 0.500 0.000
Co 0.500 0.000 0.000
Pt 0.000 0.000 0.500
Si 0.500 0.500 0.500
```

Properties
total DFT energy (no corrections)	-6.00	eV per atom



# 4
An optimized crystal structure of MgTePd, computed with PBE-GGA. Values from VASP.

Quantum ESPRESSO input file:
```
&SYSTEM
  ibrav = 0, nat = 6, ntyp = 3
/
ATOMIC_SPECIES
Mg 24.30 Mg.upf
Te 127.60 Te.upf
Pd 106.42 Pd.upf
CELL_PARAMETERS angstrom
-5.555 3.016 0.651
0.212 -0.568 4.446
2.168 3.908 0.394
ATOMIC_POSITIONS crystal
Mg 0.049 0.362 0.524
Mg 0.566 0.862 0.023
Te 0.023 0.862 0.023
Pd 0.307 0.362 0.023
Te 0.591 0.362 0.523
Pd 0.307 0.862 0.523
```

Properties
uncorrected formation energy	-587	meV per atom



# 5
An optimized crystal structure of CeZr2Np3N6, computed with PBE-GGA. Values from VASP.

Quantum ESPRESSO input file:
```
&SYSTEM
  ibrav = 0, nat = 12, ntyp = 4
/
ATOMIC_SPECIES
Zr 91.22 Zr.upf
N 14.01 N.upf
Ce 140.12 Ce.upf
Np 237.00 Np.upf
CELL_PARAMETERS angstrom
-2.240 -5.363 1.006
5.197 0.556 -2.733
1.609 1.432 5.465
ATOMIC_POSITIONS crystal
Zr 0.333 0.667 0.000
N 0.433 0.084 0.250
N 0.916 0.567 0.750
Ce 0.000 0.000 0.000
N 0.567 0.916 0.750
N 0.084 0.433 0.250
Np 0.500 0.500 0.500
N 0.730 0.730 0.245
Zr 0.667 0.333 0.000
Np 0.164 0.836 0.500
N 0.270 0.270 0.755
Np 0.836 0.164 0.500
```

Properties
uncorrected formation energy	-1384	meV per atom



# 6
An optimized crystal structure of Li2CuSn, computed with PBE-GGA. Values from VASP.

Quantum ESPRESSO input file:
```
&SYSTEM
  ibrav = 0, nat = 4, ntyp = 3
/
ATOMIC_SPECIES
Sn 118.71 Sn.upf
Cu 63.55 Cu.upf
Li 6.94 Li.upf
CELL_PARAMETERS angstrom
-1.428 2.088 -2.129
-1.691 -2.511 -1.329
-4.443 0.931 3.892
ATOMIC_POSITIONS crystal
Sn 0.500 0.500 0.500
Cu 0.500 0.500 0.000
Li 0.000 0.000 0.776
Li 0.000 0.000 0.224
```

Properties
formation energy	-14	kJ/mol of atoms



# 7
An optimized crystal structure of HfZr7Zn4, computed with PBE-GGA. Values from VASP.

Quantum ESPRESSO input file:
```
&SYSTEM
  ibrav = 0, nat = 12, ntyp = 3
/
ATOMIC_SPECIES
Zn 65.41 Zn.upf
Zr 91.22 Zr.upf
Hf 178.49 Hf.upf
CELL_PARAMETERS angstrom
-1.019 -5.168 -0.188
3.839 -3.215 -6.337
5.388 -3.828 2.142
ATOMIC_POSITIONS crystal
Zn 0.529 0.306 0.636
Zn 0.315 0.343 0.027
Zr 0.065 0.599 0.271
Zn 0.471 0.694 0.364
Zr 0.935 0.401 0.729
Hf 0.000 0.000 0.000
Zr 0.212 0.109 0.467
Zr 0.734 0.310 0.223
Zr 0.266 0.690 0.777
Zr 0.500 0.000 0.000
Zr 0.788 0.891 0.533
Zn 0.685 0.657 0.973
```

Properties
formation energy	7	kJ/mol of atoms



# 8
An optimized crystal structure of LuHg2, computed with PBE-GGA. Values from VASP.

Quantum ESPRESSO input file:
```
&SYSTEM
  ibrav = 0, nat = 6, ntyp = 2
/
ATOMIC_SPECIES
Lu 174.97 Lu.upf
Hg 200.59 Hg.upf
CELL_PARAMETERS angstrom
-2.603 5.170 -1.161
-4.035 0.375 -4.293
-5.688 0.812 1.357
ATOMIC_POSITIONS crystal
Lu 0.000 0.000 0.000
Lu 0.250 0.250 0.250
Hg 0.625 0.125 0.625
Hg 0.125 0.625 0.625
Hg 0.625 0.625 0.125
Hg 0.625 0.625 0.625
```

Properties
formation energy	-10	kJ/mol of atoms